No. 1
KTe2PdI | PBE-GGA | relaxed

The structure belongs to space group P4/mmm (No. 123); the cell edges are 5.1575, 5.1575 and 7.2031 Å and the angles 90.00°, 90.00° and 90.00°. The asymmetric unit holds K at (0.0000, 0.0000, 0.0000), Te at (0.0000, 0.5000, 0.5000), Pd at (0.0000, 0.0000, 0.5000) and I at (0.5000, 0.5000, 0.0000).

The calculated volume is 191.6 Å³/cell. The calculation puts the total magnetic moment at 0.0 μB per formula unit. The calculation puts the polymorph energy (0 for the lowest one) at 0.28 eV/f.u. The value obtained for the raw formation energy is -0.278 eV per atom. As for the total energy: -15.511 eV for the cell shown.


No. 2
InAs2P | PBE-GGA | relaxed

The structure belongs to space group Imm2 (No. 44); the cell edges are 3.4335, 4.2402 and 11.9300 Å and the angles 90.00°, 90.00° and 90.00°. The asymmetric unit holds In at (0.0000, 0.0000, 0.0000), As at (0.0000, 0.0000, 0.3685), As at (0.0000, 0.5000, 0.2055) and P at (0.0000, 0.5000, 0.7108).

As for the energy of formation: 119.9 kJ/mol of formula units. The calculated volume is 173.7 Å³/cell. The calculation puts the total magnetic moment at 0.0 μB per formula unit. The calculation puts the polymorph energy (0 for the lowest one) at 1.18 eV/f.u. As for the total energy: -32.409 eV for the cell shown.


No. 3
TbBi2Pb | PBE-GGA | relaxed

The structure belongs to space group R3m (No. 160, hexagonal axes); the cell edges are 4.7436, 4.7436 and 21.6549 Å and the angles 90.00°, 90.00° and 120.00°. The asymmetric unit holds Tb at (0.0000, 0.0000, 0.0000), Bi at (0.0000, 0.0000, 0.4099), Bi at (0.0000, 0.0000, 0.5913) and Pb at (0.0000, 0.0000, 0.1710).

As for the energy of formation: -103.7 kJ/mol of formula units. The calculated volume is 422.0 Å³/cell. The calculation puts the total magnetic moment at 0.0 μB per formula unit. The calculation puts the polymorph energy (0 for the lowest one) at 0.39 eV/f.u. As for the total energy: -51.524 eV for the cell shown.


No. 4
Tl2ZnTe | PBE-GGA | relaxed

The structure belongs to space group I-4m2 (No. 119); the cell edges are 4.8490, 4.8490 and 10.0664 Å and the angles 90.00°, 90.00° and 90.00°. The asymmetric unit holds Tl at (0.0000, 0.0000, 0.0000), Tl at (0.0000, 0.5000, 0.2500), Zn at (0.0000, 0.5000, 0.7500) and Te at (0.0000, 0.0000, 0.5000).

The calculated volume is 236.7 Å³/cell. The calculation puts the total magnetic moment at 0.0 μB per formula unit. The calculation puts the polymorph energy (0 for the lowest one) at 0.36 eV/f.u. The value obtained for the raw formation energy is 0.006 eV per atom. As for the total energy: -18.246 eV for the cell shown.